Entry 1:
A relaxed structure of CoAgAs2. Source: Alexandria, functional PBEsol.

Structure (POSCAR):
```
CoAgAs2
1.0
-0.593 0.149 2.754
0.373 -3.676 0.279
6.047 2.461 -0.276
Co As Ag
1 2 1
Cartesian
5.603 0.658 1.171
0.290 0.034 0.061
3.467 0.516 2.164
2.405 -1.578 0.603
```

Calculated values
The value obtained for the polymorph energy (0 for the lowest one) is 0.000 eV per atom. The density of states at the Fermi level comes out at 0.89 states/eV/atom. As for the electronic total energy: -5.268 eV/atom. The calculation puts the total magnetization at 0.016 μB/atom.

=====

Entry 2:
A relaxed structure of SbAu. Source: Alexandria, functional PBEsol.

Structure (POSCAR):
```
SbAu
1.0
4.728 0.020 0.000
-1.938 4.313 0.000
0.000 0.000 4.773
Sb Au
2 2
Cartesian
-0.124 3.144 3.580
2.914 1.188 1.193
-1.313 3.910 1.193
4.103 0.423 3.580
```

Calculated values
Its formation energy from raw total energies is -8 kJ/mol of formula units. The density of states at the Fermi level comes out at 0.37 states/eV/atom. As for the electronic total energy: -4.281 eV/atom. The calculation puts the total magnetization at 0.000 μB/atom.

=====

Entry 3:
A relaxed structure of NiPb. Source: Alexandria, functional PBEsol.

Structure (POSCAR):
```
NiPb
1.0
4.083 0.000 0.000
-2.042 3.536 0.000
0.000 0.000 5.066
Ni Pb
2 2
Cartesian
0.000 0.000 2.533
0.000 0.000 0.000
2.042 1.179 3.799
0.000 2.357 1.266
```

Calculated values
The density of states at the Fermi level comes out at 0.55 states/eV/atom. As for the electronic total energy: -5.014 eV/atom. The calculation puts the total magnetization at 0.000 μB/atom.

=====

Entry 4:
A relaxed structure of YHg2Sb. Source: Alexandria, functional PBEsol.

Structure (POSCAR):
```
YHg2Sb
1.0
-0.888 -0.155 -3.913
0.966 -3.897 -0.065
-5.899 -1.486 1.397
Sb Hg Y
1 2 1
Cartesian
-3.134 -0.790 0.742
-0.187 -0.047 0.044
-1.232 -2.346 -1.688
-4.218 -3.099 -0.981
```

Calculated values
Its formation energy from raw total energies is -167 kJ/mol of formula units. The density of states at the Fermi level comes out at 0.54 states/eV/atom. As for the electronic total energy: -3.560 eV/atom. The calculation puts the total magnetization at 0.000 μB/atom.

=====

Entry 5:
A relaxed structure of CoPBr2. Source: Alexandria, functional PBEsol.

Structure (POSCAR):
```
CoPBr2
1.0
4.638 0.000 0.000
2.319 4.017 0.000
2.319 1.339 3.787
Br P Co
2 1 1
Cartesian
0.000 0.000 0.000
6.957 4.017 2.840
2.319 1.339 0.947
4.638 2.678 1.893
```

Calculated values
The value obtained for the polymorph energy (0 for the lowest one) is 1.036 eV per atom. Its formation energy from raw total energies is 379 kJ/mol of formula units. The density of states at the Fermi level comes out at 1.56 states/eV/atom. As for the electronic total energy: -3.334 eV/atom. The calculation puts the total magnetization at 0.270 μB/atom.

=====

Entry 6:
A relaxed structure of CrCdAs2Br. Source: Alexandria, functional PBEsol.

Structure (POSCAR):
```
CrCdAs2Br
1.0
-0.048 3.213 -3.230
2.351 -2.749 -2.770
-4.561 -1.982 -1.904
Cr Cd As Br
1 1 2 1
Cartesian
0.000 0.000 0.000
-1.129 -0.759 -3.952
-0.024 1.606 -1.615
1.175 -1.374 -1.385
-2.280 -0.991 -0.952
```

Calculated values
The value obtained for the polymorph energy (0 for the lowest one) is 0.000 eV per atom. Its formation energy from raw total energies is 119 kJ/mol of formula units. The density of states at the Fermi level comes out at 0.40 states/eV/atom. As for the electronic total energy: -4.458 eV/atom. The calculation puts the total magnetization at 0.190 μB/atom.

=====

Entry 7:
A relaxed structure of Sb2PtS2. Source: Alexandria, functional PBEsol.

Structure (POSCAR):
```
Sb2PtS2
1.0
-0.503 -3.181 -2.003
5.453 -3.382 4.001
-5.142 -2.349 5.022
Sb Pt S
4 2 4
Cartesian
2.790 -2.856 3.835
-2.478 -2.875 5.189
-0.417 -1.385 2.304
0.729 -4.347 6.720
0.000 0.000 0.000
0.156 -2.866 4.512
2.588 -5.348 4.253
-1.190 -5.775 5.879
0.998 -3.137 1.141
-2.779 -3.564 2.767
```

Calculated values
Its formation energy from raw total energies is 42 kJ/mol of formula units. The density of states at the Fermi level comes out at 0.48 states/eV/atom. As for the electronic total energy: -4.883 eV/atom. The calculation puts the total magnetization at 0.000 μB/atom.

=====

Entry 8:
A relaxed structure of OsPt3. Source: Alexandria, functional PBEsol.

Structure (POSCAR):
```
OsPt3
1.0
2.750 0.000 0.000
1.375 2.382 0.000
1.375 0.794 8.975
Pt Os
3 1
Cartesian
1.375 0.794 2.172
4.126 2.382 6.803
2.750 1.588 4.488
0.000 0.000 0.000
```

Calculated values
The density of states at the Fermi level comes out at 1.29 states/eV/atom. As for the electronic total energy: -8.226 eV/atom. The calculation puts the total magnetization at 0.000 μB/atom.

=====

Entry 9:
A relaxed structure of GdCuAs2. Source: Alexandria, functional PBEsol.

Structure (POSCAR):
```
GdCuAs2
1.0
-1.707 -3.427 -0.631
2.272 -1.627 2.692
-6.632 2.044 6.832
Cu Gd As
2 2 4
Cartesian
-3.033 -1.505 4.446
-3.316 1.022 3.416
-2.438 -1.225 1.317
-3.912 0.742 6.546
0.283 -2.527 1.030
-1.135 -0.114 3.685
0.000 0.000 0.000
-5.215 -0.369 4.178
```

Calculated values
The density of states at the Fermi level comes out at 0.24 states/eV/atom. As for the electronic total energy: -8.130 eV/atom. The calculation puts the total magnetization at 1.730 μB/atom.

=====

Entry 10:
A relaxed structure of SiPtSe2Br. Source: Alexandria, functional PBEsol.

Structure (POSCAR):
```
SiPtSe2Br
1.0
4.888 0.000 0.000
0.000 4.888 0.000
0.000 0.000 4.973
Br Se Pt Si
1 2 1 1
Cartesian
0.000 0.000 2.486
0.000 2.444 0.000
2.444 0.000 0.000
0.000 0.000 0.000
2.444 2.444 2.486
```

Calculated values
The value obtained for the polymorph energy (0 for the lowest one) is 0.000 eV per atom. Its formation energy from raw total energies is 259 kJ/mol of formula units. The density of states at the Fermi level comes out at 0.86 states/eV/atom. As for the electronic total energy: -3.919 eV/atom. The calculation puts the total magnetization at 0.000 μB/atom.

=====

Entry 11:
A relaxed structure of Cs3B12H12Br. Source: Alexandria, functional PBEsol.

Structure (POSCAR):
```
Cs3B12H12Br
1.0
7.085 0.000 0.000
-0.371 7.076 0.000
-0.371 -0.390 7.065
B H Br Cs
12 12 1 3
Cartesian
5.872 0.805 0.851
0.304 1.607 0.409
0.473 5.880 6.214
6.040 6.365 5.437
5.847 6.161 1.121
4.755 6.298 6.655
5.847 0.779 6.214
0.497 5.906 0.851
0.497 0.524 5.944
0.304 0.320 1.627
6.040 5.078 6.655
1.589 0.387 0.409
0.515 0.542 2.796
5.830 6.143 4.268
2.731 0.658 0.696
5.007 1.389 1.468
0.515 2.762 0.696
1.126 1.186 5.146
1.126 5.073 1.468
1.337 5.295 5.596
3.613 6.027 6.369
5.218 5.498 1.918
5.830 3.923 6.369
5.218 1.612 5.596
3.172 3.342 3.532
-0.371 3.343 3.532
3.357 3.538 0.000
3.357 -0.195 3.532
```

Calculated values
The density of states at the Fermi level comes out at 0.00 states/eV/atom. As for the electronic total energy: -5.069 eV/atom. The calculation puts the total magnetization at 0.000 μB/atom.

=====

Entry 12:
A relaxed structure of InRh2Br. Source: Alexandria, functional PBEsol.

Structure (POSCAR):
```
InRh2Br
1.0
3.080 0.000 0.000
-1.540 4.291 0.007
0.000 -1.300 5.083
In Br Rh
1 1 2
Cartesian
1.540 0.000 0.000
0.000 -0.650 2.542
1.540 1.177 3.813
0.000 1.813 1.277
```

Calculated values
The value obtained for the polymorph energy (0 for the lowest one) is 0.053 eV per atom. Its formation energy from raw total energies is 76 kJ/mol of formula units. The density of states at the Fermi level comes out at 1.13 states/eV/atom. As for the electronic total energy: -5.086 eV/atom. The calculation puts the total magnetization at 0.001 μB/atom.